No. 1
First-principles (PBE) data for an optimized crystal structure of SbBr, as listed in the Alexandria database.

## Properties
As for the space group: F-43m, No. 216. For the total DFT energy (no corrections), the calculation gives -2.27 eV/atom. As for the size of the total moment: 0.000 μB/f.u.

Cell: 7.0419 7.0419 7.0419 Å, 90.00 90.00 90.00°
Last column: nearest neighbours and their distance in Å.
Atoms (fractional coordinates):
Sb  0.0000  0.0000  0.0000  4 Br 3.05
Sb  0.0000  0.5000  0.5000  4 Br 3.05
Sb  0.5000  0.0000  0.5000  4 Br 3.05
Sb  0.5000  0.5000  0.0000  4 Br 3.05
Br  0.2500  0.2500  0.2500  4 Sb 3.05
Br  0.2500  0.7500  0.7500  4 Sb 3.05
Br  0.7500  0.2500  0.7500  4 Sb 3.05
Br  0.7500  0.7500  0.2500  4 Sb 3.05

No. 2
First-principles (PBE) data for an optimized crystal structure of SbBr3, as listed in the Alexandria database.

## Properties
As for the space group: R-3m, No. 166. For the total DFT energy (no corrections), the calculation gives -2.08 eV/atom. As for the size of the total moment: 0.000 μB/f.u.

Cell: 5.9018 5.9018 5.9018 Å, 115.52 115.52 115.52°
Last column: nearest neighbours and their distance in Å.
Atoms (fractional coordinates):
Sb  0.0000  0.5000  0.5000  6 Br 3.15
Br  0.0000  0.0000  0.0000  2 Sb 3.15, 4 Br 3.15
Br  0.5000  0.0000  0.5000  4 Br 3.15, 2 Sb 3.15
Br  0.5000  0.5000  0.0000  4 Br 3.15, 2 Sb 3.15

No. 3
First-principles (PBE) data for an optimized crystal structure of SbBr3, as listed in the Alexandria database.

## Properties
As for the space group: Cmmm, No. 65. For the total DFT energy (no corrections), the calculation gives -2.84 eV/atom. As for the size of the total moment: 0.000 μB/f.u.

Cell: 4.0860 7.6916 7.6896 Å, 42.90 90.00 90.00°
Last column: nearest neighbours and their distance in Å.
Atoms (fractional coordinates):
Sb  0.5000  0.2500  0.2500  6 Br 2.81-2.84
Br  0.0000  0.1117  0.1120  2 Sb 2.84
Br  0.5000  0.7500  0.7500  2 Sb 2.81
Br  0.0000  0.3883  0.3880  2 Sb 2.84

No. 4
First-principles (PBE) data for an optimized crystal structure of Sb5Br, as listed in the Alexandria database.

## Properties
As for the space group: Cm, No. 8. For the total DFT energy (no corrections), the calculation gives -3.66 eV/atom. As for the size of the total moment: 0.000 μB/f.u.

Cell: 7.9483 7.9483 7.2308 Å, 63.65 63.65 30.56°
Last column: nearest neighbours and their distance in Å.
Atoms (fractional coordinates):
Sb  0.3009  0.3009  0.1258  3 Sb 2.93-3.00
Sb  0.6705  0.6705  0.8628  4 Sb 2.93-3.13, 2 Br 3.08
Sb  0.6504  0.6504  0.2861  3 Sb 2.93
Sb  0.9001  0.9001  0.6578  3 Sb 2.90-3.13
Sb  0.3066  0.3066  0.5346  5 Sb 2.90-3.13
Br  0.0049  0.0049  0.0330  2 Sb 3.08